A crystal of ZrMn3 relaxed with PBEsol, computed with meta-GGA SCAN.

```
12
Lattice="8.1860 0.0000 0.0000 -4.0930 7.0893 0.0000 0.0000 0.0000 2.6470" Properties=species:S:1:pos:R:3 pbc="T T T"
Zr 0.0000 0.0000 0.0000
Zr 0.0000 4.7262 1.7646
Zr 4.0930 2.3631 0.8823
Mn -2.0465 3.5447 0.0000
Mn 0.0000 2.3631 0.8823
Mn -2.0465 5.9078 0.8823
Mn 2.0465 1.1816 1.7646
Mn 4.0930 0.0000 0.0000
Mn 2.0465 3.5447 0.0000
Mn 2.0465 5.9078 0.8823
Mn 6.1395 1.1816 1.7646
Mn 4.0930 4.7262 1.7646
```

Output
total magnetization = 7.7 μB per cell
SG = R-3m, No. 166
calculated formation energy = 389 meV/atom



A crystal of ZnAg2Au relaxed with PBEsol, computed with meta-GGA SCAN.

```
4
Lattice="2.9485 0.0000 0.0000 0.0000 2.9485 0.0000 0.0000 0.0000 7.3096" Properties=species:S:1:pos:R:3 pbc="T T T"
Zn 0.0000 0.0000 0.0000
Ag 0.0000 0.0000 3.6576
Ag 1.4742 1.4742 1.7173
Au 1.4742 1.4742 5.6305
```

Output
total magnetization = 0.0 μB per cell
SG = P4mm, No. 99
calculated formation energy = -101 meV/atom



A crystal of Y3Co relaxed with PBEsol, computed with meta-GGA SCAN.

```
8
Lattice="3.4907 0.0000 0.0000 0.0000 5.2414 0.0000 0.0000 0.0000 10.5962" Properties=species:S:1:pos:R:3 pbc="T T T"
Y 0.0000 0.0000 0.0000
Y 0.0000 2.6207 2.0228
Y 0.0000 2.6207 8.5734
Y 1.7453 0.0000 3.2753
Y 1.7453 0.0000 7.3209
Y 1.7453 2.6207 5.2981
Co 0.0000 0.0000 5.2981
Co 1.7453 2.6207 0.0000
```

Output
total magnetization = 0.4 μB per cell
SG = Immm, No. 71
calculated formation energy = -36 meV/atom



A crystal of CaSi2Ni2 relaxed with PBEsol, computed with meta-GGA SCAN.

```
10
Lattice="3.9263 0.0000 0.0000 0.0000 3.9263 0.0000 0.0000 0.0000 9.6599" Properties=species:S:1:pos:R:3 pbc="T T T"
Ca 0.0000 0.0000 0.0000
Ca 1.9632 1.9632 4.8299
Si 0.0000 1.9632 2.4150
Si 0.0000 1.9632 7.2449
Si 1.9632 0.0000 2.4150
Si 1.9632 0.0000 7.2449
Ni 0.0000 0.0000 3.5977
Ni 0.0000 0.0000 6.0621
Ni 1.9632 1.9632 1.2322
Ni 1.9632 1.9632 8.4277
```

Output
total magnetization = 0.0 μB per cell
energy relative to the elements, uncorrected = -517 meV per atom
SG = I4/mmm, No. 139



A crystal of Nd3GdAl4O12 relaxed with PBEsol, computed with meta-GGA SCAN.

```
20
Lattice="5.2832 0.0000 0.0000 0.0000 7.4787 0.0000 -0.0096 0.0000 5.3089" Properties=species:S:1:pos:R:3 pbc="T T T"
Nd 0.0000 0.0000 0.0000
Nd 0.2137 3.7394 0.0637
Nd 2.6443 0.0000 2.7214
Gd 2.8887 3.7394 2.6528
Al 0.1086 1.8800 2.6937
Al 0.1086 5.5988 2.6937
Al 2.7493 1.8795 0.0346
Al 2.7493 5.5992 0.0346
O 0.0235 3.7394 3.0263
O 0.1527 0.0000 2.3536
O 1.3099 1.6243 4.1296
O 1.3099 5.8545 4.1296
O 1.5522 2.1637 1.4858
O 1.5522 5.3150 1.4858
O 2.7203 3.7394 4.9581
O 2.7650 0.0000 0.3702
O 3.9613 1.6125 3.9199
O 3.9613 5.8663 3.9199
O 4.1672 2.1258 1.2696
O 4.1672 5.3529 1.2696
```

Output
total magnetization = 7.0 μB per cell
energy relative to the elements, uncorrected = -3632 meV per atom
SG = Pm, No. 6



A crystal of ThSeO relaxed with PBEsol, computed with meta-GGA SCAN.

```
6
Lattice="3.9996 0.0000 0.0000 0.0000 3.9996 0.0000 0.0000 0.0000 6.9893" Properties=species:S:1:pos:R:3 pbc="T T T"
Th 0.9999 0.9999 1.3176
Th 2.9997 2.9997 5.6717
Se 0.9999 0.9999 4.4420
Se 2.9997 2.9997 2.5473
O 0.9999 2.9997 0.0000
O 2.9997 0.9999 0.0000
```

Output
total magnetization = 0.0 μB per cell
energy relative to the elements, uncorrected = -3155 meV per atom
SG = P4/nmm, No. 129



A crystal of LaMg2Se relaxed with PBEsol, computed with meta-GGA SCAN.

```
12
Lattice="3.6970 0.0000 0.0000 -1.8485 3.2017 0.0000 0.0000 0.0000 27.3306" Properties=species:S:1:pos:R:3 pbc="T T T"
La 0.0000 0.0000 0.0000
La 0.0000 2.1345 18.2204
La 1.8485 1.0672 9.1102
Mg 0.0000 0.0000 6.1876
Mg 0.0000 0.0000 21.1429
Mg 0.0000 2.1345 12.0327
Mg 0.0000 2.1345 24.4080
Mg 1.8485 1.0672 2.9225
Mg 1.8485 1.0672 15.2978
Se 0.0000 0.0000 13.6653
Se 0.0000 2.1345 4.5551
Se 1.8485 1.0672 22.7755
```

Output
total magnetization = 2.9 μB per cell
energy relative to the elements, uncorrected = -536 meV per atom
SG = R-3m, No. 166



A crystal of OsSeIBr2 relaxed with PBEsol, computed with meta-GGA SCAN.

```
5
Lattice="5.0845 0.0000 0.0000 0.0000 5.0845 0.0000 0.0000 0.0000 4.7255" Properties=species:S:1:pos:R:3 pbc="T T T"
Os 0.0000 0.0000 0.0000
Se 0.0000 0.0000 2.3627
I 2.5423 2.5423 2.3627
Br 0.0000 2.5423 0.0000
Br 2.5423 0.0000 0.0000
```

Output
total magnetization = 0.0 μB per cell
energy relative to the elements, uncorrected = 509 meV per atom
SG = P4/mmm, No. 123



A crystal of RbGdMo2O8 relaxed with PBEsol, computed with meta-GGA SCAN.

```
24
Lattice="5.3189 -5.2005 0.0000 5.3189 5.2005 0.0000 -5.0247 0.0000 5.7978" Properties=species:S:1:pos:R:3 pbc="T T T"
Rb 1.5504 3.1629 4.3484
Rb 4.0628 -3.1629 1.4495
Gd 4.0628 2.8075 1.4495
Gd 1.5504 -2.8075 4.3484
Mo -0.5795 0.0087 4.4185
Mo 1.9328 -0.0087 1.5195
Mo 3.6803 0.0087 4.2783
Mo 6.1927 -0.0087 1.3794
O -2.1220 0.7902 4.0303
O 1.8074 1.6383 0.7482
O 0.3904 -0.7902 1.1314
O 0.4785 0.7856 3.2665
O 4.9157 1.1148 0.1575
O 2.9909 -0.7856 0.3676
O -0.7049 -1.6383 3.6471
O 3.2099 1.1148 2.7414
O 2.4033 -1.1148 3.0564
O 6.3181 1.6383 2.1507
O 2.6223 0.7856 5.4303
O 0.6975 -1.1148 5.6404
O 5.1346 -0.7856 2.5313
O 5.2228 0.7902 4.6664
O 3.8057 -1.6383 5.0496
O 7.7351 -0.7902 1.7675
```

Output
total magnetization = 13.8 μB per cell
energy relative to the elements, uncorrected = -2612 meV per atom
SG = C2/c, No. 15



A crystal of Ba3GaRe relaxed with PBEsol, computed with meta-GGA SCAN.

```
5
Lattice="6.1051 0.0000 0.0000 0.0000 6.1051 0.0000 0.0000 0.0000 6.1051" Properties=species:S:1:pos:R:3 pbc="T T T"
Ba 0.0000 0.0000 3.0525
Ba 0.0000 3.0525 0.0000
Ba 3.0525 0.0000 0.0000
Ga 0.0000 0.0000 0.0000
Re 3.0525 3.0525 3.0525
```

Output
total magnetization = 2.8 μB per cell
SG = Pm-3m, No. 221
calculated formation energy = 1180 meV/atom



A crystal of AgHg2 relaxed with PBEsol, computed with meta-GGA SCAN.

```
24
Lattice="0.0000 6.3028 6.3028 6.3028 0.0000 6.3028 6.3028 6.3028 0.0000" Properties=species:S:1:pos:R:3 pbc="T T T"
Ag 9.8959 5.8610 5.8610
Ag 2.7096 2.7096 2.7096
Ag 6.7445 6.7445 2.7096
Ag 6.7445 2.7096 6.7445
Ag 5.8610 9.8959 5.8610
Ag 5.8610 5.8610 9.8959
Ag 9.8959 9.8959 9.8959
Ag 2.7096 6.7445 6.7445
Hg 0.0000 0.0000 0.0000
Hg 3.1514 3.1514 0.0000
Hg 3.1514 0.0000 3.1514
Hg 4.7271 4.7271 2.4232
Hg 4.7271 2.4232 4.7271
Hg 7.0310 4.7271 4.7271
Hg 7.8785 7.8785 5.5746
Hg 7.8785 5.5746 7.8785
Hg 10.1823 7.8785 7.8785
Hg 0.0000 3.1514 3.1514
Hg 2.4232 4.7271 4.7271
Hg 4.7271 7.0310 4.7271
Hg 4.7271 4.7271 7.0310
Hg 5.5746 7.8785 7.8785
Hg 7.8785 10.1823 7.8785
Hg 7.8785 7.8785 10.1823
```

Output
total magnetization = 0.0 μB per cell
energy above the lowest structure with this stoichiometry = 48 meV/atom
SG = Fd-3m, No. 227
calculated formation energy = 95 meV/atom



A crystal of SrZrCu relaxed with PBEsol, computed with meta-GGA SCAN.

```
3
Lattice="3.5196 0.0000 0.0000 -1.7598 3.0480 0.0000 0.0000 0.0000 7.0422" Properties=species:S:1:pos:R:3 pbc="T T T"
Sr 0.0000 0.0000 0.0000
Zr 0.0000 2.0320 3.9961
Cu 1.7598 1.0160 2.3313
```

Output
total magnetization = 0.8 μB per cell
energy above the lowest structure with this stoichiometry = 106 meV/atom
SG = P3m1, No. 156
calculated formation energy = 444 meV/atom



The electronic total energy results, record by record, are as follows: -20.977; -36.453; -25.244; -12.925; -18.399; -43.898; -18.819; -33.015; -19.210; -40.039; -55.804; -22.281 eV/atom.